No. 1
{"formula": "CrC", "functional": "PBE-GGA", "state": "relaxed", "lattice": [[5.064, 0.000, 0.000], [3.548, 3.614, 0.000], [-4.307, -1.806, 1.959]], "species": ["Cr", "Cr", "C", "C"], "fractional_positions": [[0.875, 0.125, 0.250], [0.125, 0.875, 0.750], [0.375, 0.625, 0.250], [0.625, 0.375, 0.750]], "e_form_mev_per_atom": 488, "dft_energy_ev_per_atom": -8.9357, "sg": "I4_1/amd (141)"}

No. 2
{"formula": "Cr4C", "functional": "PBE-GGA", "state": "relaxed", "lattice": [[-3.220, 0.427, 2.022], [0.724, -3.273, 1.844], [1.936, 1.934, 2.674]], "species": ["Cr", "Cr", "Cr", "Cr", "C"], "fractional_positions": [[0.000, 0.000, 0.000], [0.500, 0.000, 0.500], [0.000, 0.500, 0.500], [0.500, 0.500, 0.000], [0.500, 0.500, 0.500]], "e_form_mev_per_atom": 171, "dft_energy_ev_per_atom": -9.3728, "sg": "Pm-3m (221)"}

No. 3
{"formula": "CrC3", "functional": "PBE-GGA", "state": "relaxed", "lattice": [[-3.337, -1.696, -1.036], [0.748, -3.035, -2.305], [0.928, 1.228, 3.566]], "species": ["Cr", "C", "C", "C"], "fractional_positions": [[0.734, 0.000, 0.734], [0.247, 0.312, 0.936], [0.624, 0.688, 0.936], [0.228, 0.500, 0.728]], "e_form_mev_per_atom": 1112, "dft_energy_ev_per_atom": -8.2113, "sg": "Imm2 (44)"}

No. 4
{"formula": "CrC3", "functional": "PBE-GGA", "state": "relaxed", "lattice": [[2.058, -3.565, 0.000], [2.058, 3.565, 0.000], [0.000, 0.000, 5.173]], "species": ["Cr", "Cr", "C", "C", "C", "C", "C", "C"], "fractional_positions": [[0.333, 0.667, 0.250], [0.667, 0.333, 0.750], [0.785, 0.569, 0.250], [0.431, 0.215, 0.250], [0.785, 0.215, 0.250], [0.215, 0.431, 0.750], [0.569, 0.785, 0.750], [0.215, 0.785, 0.750]], "e_form_mev_per_atom": 1560, "dft_energy_ev_per_atom": -7.7642, "sg": "P6_3/mmc (194)"}

No. 5
{"formula": "CrC3", "functional": "PBE-GGA", "state": "relaxed", "lattice": [[-1.728, -0.660, 2.402], [-0.314, -1.574, -2.572], [2.721, -2.582, 1.247]], "species": ["Cr", "C", "C", "C"], "fractional_positions": [[0.667, 0.333, 0.750], [0.000, 0.000, 0.061], [0.000, 0.000, 0.439], [0.667, 0.333, 0.250]], "e_form_mev_per_atom": 1713, "dft_energy_ev_per_atom": -7.6104, "sg": "P-6m2 (187)"}

No. 6
{"formula": "CrC", "functional": "PBE-GGA", "state": "relaxed", "lattice": [[-2.830, -1.407, -2.967], [-3.538, -2.501, 0.138], [-4.220, 0.682, -0.721]], "species": ["Cr", "Cr", "C", "C"], "fractional_positions": [[0.761, 0.761, 0.761], [0.239, 0.239, 0.239], [0.933, 0.933, 0.933], [0.067, 0.067, 0.067]], "e_form_mev_per_atom": 482, "dft_energy_ev_per_atom": -8.9414, "sg": "R-3m (166)"}

No. 7
{"formula": "CrC", "functional": "PBE-GGA", "state": "relaxed", "lattice": [[-0.068, 2.311, -1.426], [-2.714, -0.024, 0.090], [0.069, 1.532, 2.480]], "species": ["Cr", "C"], "fractional_positions": [[0.500, 0.500, 0.000], [0.000, 0.000, 0.000]], "e_form_mev_per_atom": 696, "dft_energy_ev_per_atom": -8.7276, "sg": "P4/mmm (123)"}

No. 8
{"formula": "Cr2C3", "functional": "PBE-GGA", "state": "relaxed", "lattice": [[-5.439, 3.861, -2.026], [-5.744, 1.749, -3.542], [-6.661, 1.744, -1.090]], "species": ["Cr", "Cr", "C", "C", "C"], "fractional_positions": [[0.394, 0.394, 0.394], [0.606, 0.606, 0.606], [0.000, 0.000, 0.000], [0.825, 0.825, 0.825], [0.175, 0.175, 0.175]], "e_form_mev_per_atom": 573, "dft_energy_ev_per_atom": -8.8111, "sg": "R-3m (166)"}

No. 9
{"formula": "CrC", "functional": "PBE-GGA", "state": "relaxed", "lattice": [[-0.847, 2.766, 0.246], [-1.654, 0.817, 2.242], [1.115, 1.679, 2.090]], "species": ["Cr", "C"], "fractional_positions": [[0.500, 0.500, 0.500], [0.000, 0.000, 0.000]], "e_form_mev_per_atom": 155, "dft_energy_ev_per_atom": -9.2689, "sg": "Fm-3m (225)"}

No. 10
{"formula": "Cr4C", "functional": "PBE-GGA", "state": "relaxed", "lattice": [[-2.414, 2.414, 2.414], [2.414, -2.414, 2.414], [2.414, 2.414, -2.414]], "species": ["Cr", "Cr", "Cr", "Cr", "C"], "fractional_positions": [[0.000, 0.500, 0.000], [0.500, 0.500, 0.500], [0.500, 0.000, 0.000], [0.000, 0.000, 0.500], [0.000, 0.000, 0.000]], "e_form_mev_per_atom": 636, "dft_energy_ev_per_atom": -8.9076, "sg": "Im-3m (229)"}

No. 11
{"formula": "CrC3", "functional": "PBE-GGA", "state": "relaxed", "lattice": [[2.606, 0.000, 0.000], [0.000, 7.435, 0.000], [0.000, 0.000, 2.863]], "species": ["Cr", "C", "C", "C"], "fractional_positions": [[0.000, 0.500, 0.042], [0.000, 0.000, 0.041], [0.500, 0.000, 0.041], [0.500, 0.500, 0.542]], "e_form_mev_per_atom": 923, "dft_energy_ev_per_atom": -8.4007, "sg": "Pmmm (47)"}

No. 12
{"formula": "CrC3", "functional": "PBE-GGA", "state": "relaxed", "lattice": [[-2.698, -2.922, -1.557], [2.602, -2.934, 0.997], [-1.820, -0.331, 3.774]], "species": ["Cr", "Cr", "C", "C", "C", "C", "C", "C"], "fractional_positions": [[0.000, 0.000, 0.725], [0.500, 0.500, 0.275], [0.500, 0.000, 0.621], [0.000, 0.500, 0.379], [0.000, 0.674, 0.065], [0.000, 0.326, 0.065], [0.500, 0.174, 0.935], [0.500, 0.826, 0.935]], "e_form_mev_per_atom": 1352, "dft_energy_ev_per_atom": -7.9717, "sg": "Pmmn (59)"}

What is the formula in the fourth record?
CrC3

What is the formula in the eleventh record?
CrC3